1.
DFT (PBE with a Hubbard U) results for HfCrGeO2 after structural relaxation.

Computed properties:
Fermi-level density of states = 0.444 states/eV per atom
magnetization = 4.67 Bohr magnetons per cell
DFT total energy = -7.591 eV per atom
density = 5.962 g cm⁻³

a b c (Å): 4.002 4.002 5.829
angles (deg): 90.00 90.00 90.00
Element x y z (fractional)
Hf  0.000  0.000  0.000
Cr  0.500  0.500  0.500
Ge  0.000  0.000  0.500
O  0.000  0.500  0.000
O  0.500  0.000  0.000

***

2.
DFT (PBE with a Hubbard U) results for HfCrGeO6 after structural relaxation.

Computed properties:
magnetization = 4.00 Bohr magnetons per cell
DFT total energy = -7.937 eV per atom
density = 6.801 g cm⁻³

a b c (Å): 4.620 4.620 9.131
angles (deg): 90.00 90.00 90.00
Element x y z (fractional)
Hf  0.000  0.000  0.000
Hf  0.500  0.500  0.500
Cr  0.000  0.000  0.330
Cr  0.500  0.500  0.830
Ge  0.000  0.000  0.663
Ge  0.500  0.500  0.163
O  0.184  0.184  0.499
O  0.202  0.202  0.820
O  0.206  0.206  0.170
O  0.294  0.706  0.670
O  0.298  0.702  0.320
O  0.316  0.684  0.999
O  0.684  0.316  0.999
O  0.702  0.298  0.320
O  0.706  0.294  0.670
O  0.794  0.794  0.170
O  0.798  0.798  0.820
O  0.816  0.816  0.499

***

3.
DFT (PBE with a Hubbard U) results for HfCrGe2O after structural relaxation.

Computed properties:
Fermi-level density of states = 0.531 states/eV per atom
magnetization = 0.36 Bohr magnetons per cell
DFT total energy = -6.297 eV per atom
density = 8.137 g cm⁻³

a b c (Å): 4.703 4.703 3.614
angles (deg): 90.00 90.00 90.00
Element x y z (fractional)
Hf  0.000  0.000  0.000
Cr  0.500  0.500  0.000
Ge  0.000  0.500  0.500
Ge  0.500  0.000  0.500
O  0.500  0.500  0.500